[1]
Computed, not measured: a relaxed structure of Th3Cu9Ni2 at the PBE-GGA level of DFT.

Values from the calculation:
The space-group type is Immm. The density is 10.02 g/cm³. The calculation puts the volume at 16.4 Å³ per atom. The calculation puts the density of states at the Fermi level at 0.58 states/eV/atom. The calculated formation energy is -0.19 eV/atom.

abc: 4.2188 7.8483 7.8483
angles: 69.21 74.41 74.41
Last column: nearest neighbours and their distance in Å.
Positions (direct):
Th (0.0000, 0.0000, 0.0000)  4 Cu 2.87
Th (0.6893, 0.3107, 0.3107)  2 Ni 2.90, 12 Cu 3.01-3.18
Th (0.3107, 0.6893, 0.6893)  2 Ni 2.90, 12 Cu 3.01-3.18
Cu (0.0000, 0.5000, 0.5000)  4 Cu 2.45
Cu (0.6703, 0.9734, 0.6859)  4 Cu 2.51-2.67, 1 Ni 2.52
Cu (0.3297, 0.0266, 0.3141)  4 Cu 2.51-2.67, 1 Ni 2.52
Cu (0.6703, 0.6859, 0.9734)  4 Cu 2.51-2.67, 1 Ni 2.52
Cu (0.3297, 0.3141, 0.0266)  4 Cu 2.51-2.67, 1 Ni 2.52
Cu (0.8818, 0.8400, 0.3965)  4 Cu 2.45-2.67, 2 Ni 2.57
Cu (0.1182, 0.1600, 0.6035)  4 Cu 2.45-2.67, 2 Ni 2.57
Cu (0.8818, 0.3965, 0.8400)  4 Cu 2.45-2.67, 2 Ni 2.57
Cu (0.1182, 0.6035, 0.1600)  4 Cu 2.45-2.67, 2 Ni 2.57
Ni (0.5000, 0.3033, 0.6967)  8 Cu 2.52-2.74
Ni (0.5000, 0.6967, 0.3033)  8 Cu 2.52-2.74

[2]
Computed, not measured: a relaxed structure of Th3Cu3Ni at the PBE-GGA level of DFT.

Values from the calculation:
The space-group type is Imm2. The density is 10.54 g/cm³. The calculation puts the volume at 21.3 Å³ per atom. The calculation puts the density of states at the Fermi level at 1.07 states/eV/atom. The calculated formation energy is -0.22 eV/atom.

abc: 4.2532 3.6792 9.9228
angles: 100.68 102.38 90.00
Last column: nearest neighbours and their distance in Å.
Positions (direct):
Th (0.3161, 0.8161, 0.6322)  2 Ni 2.91, 4 Cu 2.95
Th (0.6901, 0.1901, 0.3801)  7 Cu 2.99-3.30
Th (0.9950, 0.9950, 0.9900)  4 Ni 3.04, 8 Cu 3.11-3.25
Cu (0.1360, 0.6360, 0.2721)  2 Cu 2.52
Cu (0.8634, 0.3634, 0.7269)  2 Ni 2.52
Cu (0.5645, 0.5645, 0.1291)  1 Ni 2.47, 2 Cu 2.52
Ni (0.4348, 0.4348, 0.8696)  3 Cu 2.47-2.52

[3]
Computed, not measured: a relaxed structure of ThCu2Ni at the PBE-GGA level of DFT.

Values from the calculation:
The space-group type is R-3m. The density is 9.86 g/cm³. The calculation puts the volume at 17.6 Å³ per atom. The calculation puts the density of states at the Fermi level at 0.89 states/eV/atom. The calculated formation energy is -0.14 eV/atom.

abc: 4.1567 4.1567 5.2788
angles: 66.81 66.81 60.00
Last column: nearest neighbours and their distance in Å.
Positions (direct):
Ni (0.5000, 0.5000, 0.5000)  6 Cu 2.46
Cu (0.7946, 0.7946, 0.6163)  3 Ni 2.46, 3 Cu 2.64
Cu (0.2054, 0.2054, 0.3837)  3 Ni 2.46, 3 Cu 2.64
Th (0.0000, 0.0000, 0.0000)  8 Cu 2.90-3.00

[4]
Computed, not measured: a relaxed structure of ThCu2Ni4 at the PBE-GGA level of DFT.

Values from the calculation:
The space-group type is I4/mmm. The density is 8.01 g/cm³. The energy above the most stable polymorph in this dataset is 584 meV/atom. The calculation puts the volume at 17.6 Å³ per atom. The calculation puts the density of states at the Fermi level at 1.06 states/eV/atom. The calculated formation energy is 0.34 eV/atom.

abc: 5.5642 5.5642 5.5642
angles: 101.51 101.51 126.94
Last column: nearest neighbours and their distance in Å.
Positions (direct):
Th (0.0000, 0.0000, 0.0000)  8 Ni 2.94
Cu (0.2500, 0.7500, 0.5000)  4 Ni 2.31, 2 Cu 2.49
Cu (0.7500, 0.2500, 0.5000)  4 Ni 2.31, 2 Cu 2.49
Ni (0.7236, 0.5000, 0.2236)  2 Ni 2.23, 2 Cu 2.31
Ni (0.5000, 0.7236, 0.2236)  2 Ni 2.23, 2 Cu 2.31
Ni (0.5000, 0.2764, 0.7764)  2 Ni 2.23, 2 Cu 2.31
Ni (0.2764, 0.5000, 0.7764)  2 Ni 2.23, 2 Cu 2.31